VASP calculation (PBE-GGA) on a relaxed Pr3P2Se crystal.

Properties
Crystal system: orthorhombic
M_tot: 1.43 μB per cell

Geometry as POSCAR:
```
Pr3P2Se
1.0
2.1916 -7.0347 0.0000
2.1916 7.0347 0.0000
0.0000 0.0000 11.3065
Pr P Se
6 4 2
Direct
0.0983 0.9017 0.7500
0.3711 0.6289 0.5664
0.3711 0.6289 0.9336
0.6289 0.3711 0.0664
0.6289 0.3711 0.4336
0.9017 0.0983 0.2500
0.0000 0.0000 0.0000
0.0000 0.0000 0.5000
0.4874 0.5126 0.7500
0.5126 0.4874 0.2500
0.2408 0.7592 0.2500
0.7592 0.2408 0.7500
```

***

VASP calculation (PBE-GGA) on a relaxed Pr8Si3PSe4 crystal.

Properties
Crystal system: trigonal
M_tot: 0.00 μB per cell

Geometry as POSCAR:
```
Pr8Si3PSe4
1.0
4.2759 2.4687 7.0644
-4.2759 2.4687 7.0644
0.0000 -4.9373 7.0644
Pr Si P Se
8 3 1 4
Direct
0.2464 0.7449 0.7449
0.2469 0.2469 0.2469
0.2551 0.2551 0.7536
0.2551 0.7536 0.2551
0.7449 0.2464 0.7449
0.7449 0.7449 0.2464
0.7531 0.7531 0.7531
0.7536 0.2551 0.2551
0.0000 0.0000 0.5000
0.0000 0.5000 0.0000
0.5000 0.0000 0.0000
0.5000 0.5000 0.5000
0.0000 0.0000 0.0000
0.0000 0.5000 0.5000
0.5000 0.0000 0.5000
0.5000 0.5000 0.0000
```

***

VASP calculation (PBE-GGA) on a relaxed Pr4SiPSe2 crystal.

Properties
Crystal system: monoclinic
M_tot: 0.00 μB per cell

Geometry as POSCAR:
```
Pr4SiPSe2
1.0
7.3784 0.0000 0.0000
0.0000 4.2621 0.0000
-2.4572 0.0000 7.0276
Pr Si P Se
4 1 1 2
Direct
0.2439 0.0000 0.2339
0.2534 0.5000 0.7628
0.7466 0.5000 0.2372
0.7561 0.0000 0.7661
0.5000 0.0000 0.0000
0.0000 0.5000 0.0000
0.0000 0.0000 0.5000
0.5000 0.5000 0.5000
```

***

VASP calculation (PBE-GGA) on a relaxed Pr6SiP2Se3 crystal.

Properties
Crystal system: monoclinic
M_tot: 0.00 μB per cell

Geometry as POSCAR:
```
Pr6SiP2Se3
1.0
9.3317 -2.1225 0.0000
9.3317 2.1225 0.0000
-2.0935 0.0000 8.3067
Pr Si P Se
6 1 2 3
Direct
0.0035 0.0035 0.2434
0.3293 0.3293 0.4270
0.3367 0.3367 0.9073
0.6633 0.6633 0.0927
0.6707 0.6707 0.5730
0.9965 0.9965 0.7566
0.5000 0.5000 0.0000
0.1675 0.1675 0.3347
0.8325 0.8325 0.6653
0.1670 0.1670 0.8321
0.5000 0.5000 0.5000
0.8330 0.8330 0.1679
```

***

| no. | uncorrected formation energy (meV per atom) |
| --- | --- |
| 1 | -1146 |
| 2 | -1419 |
| 3 | -1543 |
| 4 | -1615 |